Cs2NdPb3F12 (PBE-GGA, relaxed); SG = No. 166
1.0
-1.892 -5.012 -6.988
-3.933 -7.829 0.874
-8.304 -1.303 -2.623
Cs Nd Pb F
2 1 3 12
Direct
0.597 0.597 0.597
0.403 0.403 0.403
0.000 0.000 0.000
0.500 0.000 0.000
0.000 0.500 0.000
0.000 0.000 0.500
0.333 0.333 0.910
0.934 0.934 0.312
0.312 0.934 0.934
0.910 0.333 0.333
0.934 0.312 0.934
0.333 0.910 0.333
0.667 0.667 0.090
0.066 0.066 0.688
0.688 0.066 0.066
0.090 0.667 0.667
0.066 0.688 0.066
0.667 0.090 0.667

=====

CdSiRh3 (PBE-GGA, relaxed); SG = No. 221
1.0
-0.281 3.863 2.145
-4.381 -0.523 0.367
0.573 -2.099 3.856
Si Rh Cd
1 3 1
Direct
0.000 0.000 0.000
0.000 0.500 0.000
0.000 0.000 0.500
0.500 0.000 0.000
0.500 0.500 0.500

=====

Number 1: E -4.9545 eV/atom, total magnetization 0.0 μB/f.u.. Number 2: E -5.7058 eV/atom, total magnetization 0.0 μB/f.u..